No. 1
Computed, not measured: a relaxed structure of GdHoInAu at the GGA-PBE level of DFT. Values from VASP.

Properties
**SG**: F-43m (216)
**E_form**: -0.614 eV per atom
**Calculated volume**: 101.31 Å³/cell

```
&SYSTEM
  ibrav = 0, nat = 4, ntyp = 4
/
ATOMIC_SPECIES
Ho 164.93 Ho.upf
Gd 157.25 Gd.upf
Au 196.97 Au.upf
In 114.82 In.upf
CELL_PARAMETERS angstrom
-0.917 5.141 -0.337
-3.228 1.846 -3.682
-4.680 1.917 1.345
ATOMIC_POSITIONS crystal
Ho 0.750 0.750 0.750
Gd 0.250 0.250 0.250
Au 0.000 0.000 0.000
In 0.500 0.500 0.500
```



No. 2
Computed, not measured: a relaxed structure of GdHoMgAu at the GGA-PBE level of DFT. Values from VASP.

Properties
**SG**: F-43m (216)
**E_form**: -0.406 eV per atom
**Calculated volume**: 99.99 Å³/cell

```
&SYSTEM
  ibrav = 0, nat = 4, ntyp = 4
/
ATOMIC_SPECIES
Gd 157.25 Gd.upf
Ho 164.93 Ho.upf
Au 196.97 Au.upf
Mg 24.30 Mg.upf
CELL_PARAMETERS angstrom
5.210 0.000 0.000
2.605 4.512 0.000
2.605 1.504 4.254
ATOMIC_POSITIONS crystal
Gd 0.250 0.250 0.250
Ho 0.750 0.750 0.750
Au 0.000 0.000 0.000
Mg 0.500 0.500 0.500
```



No. 3
Computed, not measured: a relaxed structure of GdHoMnAu at the GGA-PBE level of DFT. Values from VASP.

Properties
**SG**: F-43m (216)
**E_form**: -0.256 eV per atom
**Calculated volume**: 91.99 Å³/cell

```
&SYSTEM
  ibrav = 0, nat = 4, ntyp = 4
/
ATOMIC_SPECIES
Gd 157.25 Gd.upf
Mn 54.94 Mn.upf
Au 196.97 Au.upf
Ho 164.93 Ho.upf
CELL_PARAMETERS angstrom
-2.742 -0.073 4.260
0.346 -3.939 3.168
2.281 0.553 4.491
ATOMIC_POSITIONS crystal
Gd 0.000 0.000 0.000
Mn 0.250 0.250 0.250
Au 0.750 0.750 0.750
Ho 0.500 0.500 0.500
```



No. 4
Computed, not measured: a relaxed structure of GdHoOsAu at the GGA-PBE level of DFT. Values from VASP.

Properties
**SG**: F-43m (216)
**E_form**: -0.457 eV per atom
**Calculated volume**: 86.03 Å³/cell

```
&SYSTEM
  ibrav = 0, nat = 4, ntyp = 4
/
ATOMIC_SPECIES
Au 196.97 Au.upf
Ho 164.93 Ho.upf
Gd 157.25 Gd.upf
Os 190.23 Os.upf
CELL_PARAMETERS angstrom
4.955 0.000 0.000
2.478 4.291 0.000
2.478 1.430 4.046
ATOMIC_POSITIONS crystal
Au 0.000 0.000 0.000
Ho 0.750 0.750 0.750
Gd 0.250 0.250 0.250
Os 0.500 0.500 0.500
```